Material: BaMg6MnO8
Method: DFT, PBE+U
State: optimized geometry

Structure (CIF):
```
data_BaMg6MnO8
_symmetry_space_group_name_H-M 'P 4/m m m'
_symmetry_Int_Tables_number 123
_symmetry_space_group_name_Hall '-P 4 2'
_cell_length_a 4.688
_cell_length_b 4.688
_cell_length_c 8.909
_cell_angle_alpha 90.00
_cell_angle_beta 90.00
_cell_angle_gamma 90.00
loop_
_atom_site_label
_atom_site_type_symbol
_atom_site_fract_x
_atom_site_fract_y
_atom_site_fract_z
Ba1 Ba 0.000 0.000 0.000
Mg1 Mg 0.000 0.500 0.266
Mg2 Mg 0.500 0.500 0.000
Mg3 Mg 0.500 0.500 0.500
Mn1 Mn 0.000 0.000 0.500
O1 O 0.000 0.000 0.277
O2 O 0.000 0.500 0.000
O3 O 0.000 0.500 0.500
O4 O 0.500 0.500 0.254
```

Calculated total energy ... -93.252 eV for the cell shown